No. 1
Here is Ba2ScSn2 after structural relaxation from Alexandria via LeMat-Bulk. Energies are from PBE.

- calculated total energy (eV/f.u.) = -20.63
- Fermi-level density of states (states/eV/f.u.) = 0.8

Geometry as extended XYZ:
```
10
Lattice="8.118 0.000 0.000 0.000 8.118 0.000 0.000 0.000 5.479" Properties=species:S:1:pos:R:3 pbc="T T T"
Sc 0.000 0.000 0.000
Sc 4.059 4.059 0.000
Ba 1.363 5.422 2.740
Ba 5.422 6.755 2.740
Ba 6.755 2.696 2.740
Ba 2.696 1.363 2.740
Sn 2.978 7.037 0.000
Sn 7.037 5.140 0.000
Sn 5.140 1.081 0.000
Sn 1.081 2.978 0.000
```

***

No. 2
Here is Ba3ScSn after structural relaxation from Alexandria via LeMat-Bulk. Energies are from PBE.

- offset from the most stable computed form (eV per formula unit) = 0.00
- Fermi-level density of states (states/eV/f.u.) = 4.3

Geometry as extended XYZ:
```
5
Lattice="6.696 0.000 0.000 0.000 6.696 0.000 0.000 0.000 6.696" Properties=species:S:1:pos:R:3 pbc="T T T"
Sc 3.348 3.348 3.348
Ba 0.000 3.348 0.000
Ba 0.000 0.000 3.348
Ba 3.348 0.000 0.000
Sn 0.000 0.000 0.000
```